Entry 1:
First-principles (PBE-GGA) data for a geometry-optimized PrSc2 structure, as listed in Alexandria via LeMat-Bulk.

Its energy above the most stable polymorph in this dataset is 0.0 kJ per mole of atoms. As for the crystal system: orthorhombic. The value obtained for the formation energy is 0.070 eV per atom.

Unit cell a=4.8428 b=6.7919 c=10.2144 alpha=90.00 beta=90.00 gamma=90.00
Closest atoms and distances in Å follow each position.
Fractional coordinates of all 12 atoms:
Pr  0.2500  0.1311  0.4129  10 Sc 3.36-3.49, 2 Pr 3.49
Pr  0.2500  0.6311  0.0871  10 Sc 3.36-3.49, 2 Pr 3.49
Pr  0.7500  0.3689  0.9129  10 Sc 3.36-3.49, 2 Pr 3.49
Pr  0.7500  0.8689  0.5871  10 Sc 3.36-3.49, 2 Pr 3.49
Sc  0.2500  0.6263  0.4165  5 Pr 3.36-3.43, 7 Sc 3.36-3.46
Sc  0.7500  0.3833  0.2542  7 Sc 3.36-3.46, 5 Pr 3.38-3.49
Sc  0.2500  0.1263  0.0835  5 Pr 3.36-3.43, 7 Sc 3.36-3.46
Sc  0.7500  0.8737  0.9165  5 Pr 3.36-3.43, 7 Sc 3.36-3.46
Sc  0.2500  0.6167  0.7458  7 Sc 3.36-3.46, 5 Pr 3.38-3.49
Sc  0.7500  0.3737  0.5835  5 Pr 3.36-3.43, 7 Sc 3.36-3.46
Sc  0.7500  0.8833  0.2458  7 Sc 3.36-3.46, 5 Pr 3.38-3.49
Sc  0.2500  0.1167  0.7542  7 Sc 3.36-3.46, 5 Pr 3.38-3.49

---

Entry 2:
First-principles (PBE-GGA) data for a geometry-optimized PrSc8 structure, as listed in Alexandria via LeMat-Bulk.

As for the crystal system: tetragonal. The value obtained for the formation energy is 0.060 eV per atom.

Unit cell a=4.6634 b=7.4040 c=7.4040 alpha=84.31 beta=71.64 gamma=71.64
Closest atoms and distances in Å follow each position.
Fractional coordinates of all 9 atoms:
Pr  0.0000  0.0000  0.0000  12 Sc 3.34
Sc  0.3296  0.0000  0.3407  10 Sc 3.23-3.39, 2 Pr 3.34
Sc  0.6704  0.0000  0.6593  10 Sc 3.23-3.39, 2 Pr 3.34
Sc  0.6704  0.6593  0.0000  10 Sc 3.23-3.39, 2 Pr 3.34
Sc  0.0000  0.6638  0.3362  11 Sc 3.26-3.32, 1 Pr 3.34
Sc  0.3362  0.6638  0.6638  11 Sc 3.26-3.32, 1 Pr 3.34
Sc  0.6638  0.3362  0.3362  11 Sc 3.26-3.32, 1 Pr 3.34
Sc  0.0000  0.3362  0.6638  11 Sc 3.26-3.32, 1 Pr 3.34
Sc  0.3296  0.3407  0.0000  10 Sc 3.23-3.39, 2 Pr 3.34

---

Entry 3:
First-principles (PBE-GGA) data for a geometry-optimized Pr8Sc structure, as listed in Alexandria via LeMat-Bulk.

As for the crystal system: tetragonal. The value obtained for the formation energy is 0.030 eV per atom.

Unit cell a=5.1835 b=8.1975 c=8.1975 alpha=84.26 beta=71.57 gamma=71.57
Closest atoms and distances in Å follow each position.
Fractional coordinates of all 9 atoms:
Pr  0.3367  0.0000  0.3266  10 Pr 3.59-3.74, 2 Sc 3.63
Pr  0.6633  0.0000  0.6734  10 Pr 3.59-3.74, 2 Sc 3.63
Pr  0.6633  0.6734  0.0000  10 Pr 3.59-3.74, 2 Sc 3.63
Pr  0.0000  0.6702  0.3298  1 Sc 3.63, 11 Pr 3.65-3.74
Pr  0.3298  0.6702  0.6702  1 Sc 3.63, 11 Pr 3.65-3.74
Pr  0.6702  0.3298  0.3298  1 Sc 3.63, 11 Pr 3.65-3.74
Pr  0.0000  0.3298  0.6702  1 Sc 3.63, 11 Pr 3.65-3.74
Pr  0.3367  0.3266  0.0000  10 Pr 3.59-3.74, 2 Sc 3.63
Sc  0.0000  0.0000  0.0000  12 Pr 3.63

---

Entry 4:
First-principles (PBE-GGA) data for a geometry-optimized PrSc structure, as listed in Alexandria via LeMat-Bulk.

Its energy above the most stable polymorph in this dataset is 1.8 kJ per mole of atoms. As for the crystal system: tetragonal. The value obtained for the formation energy is 0.090 eV per atom.

Unit cell a=3.8244 b=3.8233 c=8.4524 alpha=90.00 beta=90.00 gamma=90.00
Closest atoms and distances in Å follow each position.
Fractional coordinates of all 4 atoms:
Pr  0.2500  0.7500  0.1567  5 Sc 3.44-3.68, 8 Pr 3.79-3.82
Pr  0.7500  0.2500  0.8433  5 Sc 3.44-3.68, 8 Pr 3.79-3.82
Sc  0.2500  0.7500  0.5925  4 Sc 3.12, 4 Pr 3.44
Sc  0.7500  0.2500  0.4075  4 Sc 3.12, 4 Pr 3.44

---

Entry 5:
First-principles (PBE-GGA) data for a geometry-optimized Pr3Sc structure, as listed in Alexandria via LeMat-Bulk.

Its energy above the most stable polymorph in this dataset is 0.6 kJ per mole of atoms. As for the crystal system: orthorhombic. The value obtained for the formation energy is 0.045 eV per atom.

Unit cell a=6.2209 b=6.2210 c=6.2245 alpha=131.64 beta=131.64 gamma=70.75
Closest atoms and distances in Å follow each position.
Fractional coordinates of all 4 atoms:
Pr  0.7500  0.2500  0.5000  8 Pr 3.60-3.61, 4 Sc 3.60
Pr  0.2500  0.7500  0.5000  8 Pr 3.60-3.61, 4 Sc 3.60
Pr  0.5000  0.5000  0.0000  8 Pr 3.60, 4 Sc 3.60-3.61
Sc  0.0000  0.0000  0.0000  12 Pr 3.60-3.61

---

Entry 6:
First-principles (PBE-GGA) data for a geometry-optimized Pr3Sc structure, as listed in Alexandria via LeMat-Bulk.

Its energy above the most stable polymorph in this dataset is 0.0 kJ per mole of atoms. As for the crystal system: cubic. The value obtained for the formation energy is 0.038 eV per atom.

Unit cell a=5.0850 b=5.0850 c=5.0850 alpha=90.00 beta=90.00 gamma=90.00
Closest atoms and distances in Å follow each position.
Fractional coordinates of all 4 atoms:
Pr  0.0000  0.5000  0.5000  8 Pr 3.60, 4 Sc 3.60
Pr  0.5000  0.0000  0.5000  8 Pr 3.60, 4 Sc 3.60
Pr  0.5000  0.5000  0.0000  8 Pr 3.60, 4 Sc 3.60
Sc  0.0000  0.0000  0.0000  12 Pr 3.60

---

Entry 7:
First-principles (PBE-GGA) data for a geometry-optimized PrSc3 structure, as listed in Alexandria via LeMat-Bulk.

Its energy above the most stable polymorph in this dataset is 2.5 kJ per mole of atoms. As for the crystal system: cubic. The value obtained for the formation energy is 0.072 eV per atom.

Unit cell a=4.7713 b=4.7713 c=4.7713 alpha=90.00 beta=90.00 gamma=90.00
Closest atoms and distances in Å follow each position.
Fractional coordinates of all 4 atoms:
Pr  0.0000  0.0000  0.0000  12 Sc 3.37
Sc  0.0000  0.5000  0.5000  4 Pr 3.37, 8 Sc 3.37
Sc  0.5000  0.0000  0.5000  4 Pr 3.37, 8 Sc 3.37
Sc  0.5000  0.5000  0.0000  4 Pr 3.37, 8 Sc 3.37

---

Entry 8:
First-principles (PBE-GGA) data for a geometry-optimized Pr2Sc17 structure, as listed in Alexandria via LeMat-Bulk.

As for the crystal system: trigonal. The value obtained for the formation energy is 0.238 eV per atom.

Unit cell a=8.1070 b=8.1070 c=8.1070 alpha=81.76 beta=81.76 gamma=81.76
Closest atoms and distances in Å follow each position.
Fractional coordinates of all 19 atoms:
Pr  0.3367  0.3367  0.3367  16 Sc 3.75-4.09
Pr  0.6633  0.6633  0.6633  16 Sc 3.75-4.09
Sc  0.6405  0.6405  0.1477  9 Sc 3.11-3.44
Sc  0.1477  0.6405  0.6405  9 Sc 3.11-3.44
Sc  0.8991  0.8991  0.8991  13 Sc 3.22-3.52
Sc  0.1009  0.1009  0.1009  13 Sc 3.22-3.52
Sc  0.0000  0.0000  0.5000  10 Sc 3.10-3.24
Sc  0.0000  0.5000  0.0000  10 Sc 3.10-3.24
Sc  0.5000  0.0000  0.0000  10 Sc 3.10-3.24
Sc  0.2951  0.7049  0.0000  8 Sc 3.10-3.44
Sc  0.7049  0.0000  0.2951  8 Sc 3.10-3.44
Sc  0.0000  0.2951  0.7049  8 Sc 3.10-3.44
Sc  0.7049  0.2951  0.0000  8 Sc 3.10-3.44
Sc  0.2951  0.0000  0.7049  8 Sc 3.10-3.44
Sc  0.0000  0.7049  0.2951  8 Sc 3.10-3.44
Sc  0.8523  0.3595  0.3595  9 Sc 3.11-3.44
Sc  0.3595  0.3595  0.8523  9 Sc 3.11-3.44
Sc  0.3595  0.8523  0.3595  9 Sc 3.11-3.44
Sc  0.6405  0.1477  0.6405  9 Sc 3.11-3.44

---

Entry 9:
First-principles (PBE-GGA) data for a geometry-optimized PrSc7 structure, as listed in Alexandria via LeMat-Bulk.

Its energy above the most stable polymorph in this dataset is 0.0 kJ per mole of atoms. As for the crystal system: orthorhombic. The value obtained for the formation energy is 0.031 eV per atom.

Unit cell a=3.2927 b=8.1546 c=8.1546 alpha=78.53 beta=78.35 gamma=78.35
Closest atoms and distances in Å follow each position.
Fractional coordinates of all 8 atoms:
Pr  0.0000  0.0000  0.0000  2 Pr 3.29, 12 Sc 3.44-3.64
Sc  0.7476  0.7517  0.7517  9 Sc 3.07-3.29
Sc  0.2524  0.2483  0.2483  9 Sc 3.07-3.29
Sc  0.0000  0.5000  0.5000  12 Sc 3.07-3.31
Sc  0.6351  0.5935  0.1368  10 Sc 3.13-3.31
Sc  0.3649  0.4065  0.8632  10 Sc 3.13-3.31
Sc  0.3649  0.8632  0.4065  10 Sc 3.13-3.31
Sc  0.6351  0.1368  0.5935  10 Sc 3.13-3.31

---

Entry 10:
First-principles (PBE-GGA) data for a geometry-optimized PrSc3 structure, as listed in Alexandria via LeMat-Bulk.

Its energy above the most stable polymorph in this dataset is 18.5 kJ per mole of atoms. As for the crystal system: orthorhombic. The value obtained for the formation energy is 0.238 eV per atom.

Unit cell a=5.5964 b=6.3826 c=6.3826 alpha=92.09 beta=90.00 gamma=90.00
Closest atoms and distances in Å follow each position.
Fractional coordinates of all 8 atoms:
Pr  0.7500  0.5756  0.4244  3 Sc 3.07-3.33, 2 Pr 3.12
Pr  0.2500  0.4244  0.5756  3 Sc 3.07-3.33, 2 Pr 3.12
Sc  0.2500  0.0901  0.9099  1 Pr 3.07, 10 Sc 3.25-3.41
Sc  0.7500  0.9099  0.0901  1 Pr 3.07, 10 Sc 3.25-3.41
Sc  0.2500  0.6034  0.0717  3 Sc 2.88-3.21
Sc  0.7500  0.3966  0.9283  3 Sc 2.88-3.21
Sc  0.2500  0.9283  0.3966  3 Sc 2.88-3.21
Sc  0.7500  0.0717  0.6034  3 Sc 2.88-3.21

---

Entry 11:
First-principles (PBE-GGA) data for a geometry-optimized PrSc5 structure, as listed in Alexandria via LeMat-Bulk.

Its energy above the most stable polymorph in this dataset is 0.0 kJ per mole of atoms. As for the crystal system: monoclinic. The value obtained for the formation energy is 0.035 eV per atom.

Unit cell a=3.3994 b=6.2845 c=8.9351 alpha=59.37 beta=79.03 gamma=74.31
Closest atoms and distances in Å follow each position.
Fractional coordinates of all 6 atoms:
Pr  0.2808  0.5009  0.9375  10 Sc 3.28-3.49, 2 Pr 3.40
Sc  0.0026  0.9838  0.0110  9 Sc 3.24-3.44, 3 Pr 3.28-3.34
Sc  0.3333  0.9946  0.3387  11 Sc 3.22-3.40, 1 Pr 3.36
Sc  0.6606  0.0207  0.6581  10 Sc 3.13-3.44, 2 Pr 3.36
Sc  0.6082  0.4967  0.2869  10 Sc 3.13-3.40, 2 Pr 3.49
Sc  0.9478  0.5034  0.6010  10 Sc 3.20-3.44, 2 Pr 3.40

---

Entry 12:
First-principles (PBE-GGA) data for a geometry-optimized PrSc7 structure, as listed in Alexandria via LeMat-Bulk.

Its energy above the most stable polymorph in this dataset is 3.1 kJ per mole of atoms. As for the crystal system: cubic. The value obtained for the formation energy is 0.062 eV per atom.

Unit cell a=6.6184 b=6.6184 c=6.6184 alpha=60.00 beta=60.00 gamma=60.00
Closest atoms and distances in Å follow each position.
Fractional coordinates of all 8 atoms:
Pr  0.0000  0.0000  0.0000  12 Sc 3.31
Sc  0.5000  0.5000  0.0000  10 Sc 3.31, 2 Pr 3.31
Sc  0.5000  0.0000  0.5000  10 Sc 3.31, 2 Pr 3.31
Sc  0.0000  0.5000  0.5000  10 Sc 3.31, 2 Pr 3.31
Sc  0.5000  0.0000  0.0000  2 Pr 3.31, 10 Sc 3.31
Sc  0.0000  0.5000  0.0000  10 Sc 3.31, 2 Pr 3.31
Sc  0.0000  0.0000  0.5000  10 Sc 3.31, 2 Pr 3.31
Sc  0.5000  0.5000  0.5000  12 Sc 3.31

---

Number 1: final energy -68.9 eV/cell, M_tot 0.0 μB/f.u.. Number 2: final energy -54.9 eV/cell, M_tot 0.0 μB/f.u.. Number 3: final energy -44.3 eV/cell, M_tot 0.0 μB/f.u.. Number 4: final energy -21.9 eV/cell, M_tot 0.0 μB/f.u.. Number 5: final energy -20.5 eV/cell, M_tot 0.0 μB/f.u.. Number 6: final energy -20.5 eV/cell, M_tot 0.0 μB/f.u.. Number 7: final energy -23.5 eV/cell, M_tot 0.0 μB/f.u.. Number 8: final energy -112.7 eV/cell, M_tot 3.3 μB/f.u.. Number 9: final energy -48.9 eV/cell, M_tot 0.0 μB/f.u.. Number 10: final energy -45.6 eV/cell, M_tot 0.0 μB/f.u.. Number 11: final energy -36.2 eV/cell, M_tot 0.0 μB/f.u.. Number 12: final energy -48.6 eV/cell, M_tot 0.0 μB/f.u..